## i
A geometry-optimized ErTm2 structure. Source: OQMD via LeMat-Bulk, functional PBE-GGA.

* theoretical density: 2.4 g/cm3
* M_tot: 2.06 μB/atom
* symmetry: No. 227

```
data_ErTm2
_cell_length_a 9.990
_cell_length_b 9.990
_cell_length_c 9.990
_cell_angle_alpha 60.00
_cell_angle_beta 60.00
_cell_angle_gamma 60.00
_symmetry_space_group_name_H-M 'P 1'
_symmetry_Int_Tables_number 1
loop_
_symmetry_equiv_pos_as_xyz
'x,y,z'
loop_
_atom_site_label
_atom_site_type_symbol
_atom_site_fract_x
_atom_site_fract_y
_atom_site_fract_z
Er1 Er 0.125 0.125 0.125
Er2 Er 0.875 0.875 0.875
Tm1 Tm 0.000 0.000 0.000
Tm2 Tm 0.000 0.000 0.500
Tm3 Tm 0.000 0.500 0.000
Tm4 Tm 0.500 0.000 0.000
```

## ii
A geometry-optimized ErTm2 structure. Source: OQMD via LeMat-Bulk, functional PBE-GGA.

* theoretical density: 8.9 g/cm3
* M_tot: 0.02 μB/atom
* symmetry: No. 227

```
data_ErTm2
_cell_length_a 6.446
_cell_length_b 6.446
_cell_length_c 6.446
_cell_angle_alpha 60.00
_cell_angle_beta 60.00
_cell_angle_gamma 60.00
_symmetry_space_group_name_H-M 'P 1'
_symmetry_Int_Tables_number 1
loop_
_symmetry_equiv_pos_as_xyz
'x,y,z'
loop_
_atom_site_label
_atom_site_type_symbol
_atom_site_fract_x
_atom_site_fract_y
_atom_site_fract_z
Er1 Er 0.125 0.125 0.125
Er2 Er 0.875 0.875 0.875
Tm1 Tm 0.000 0.500 0.500
Tm2 Tm 0.500 0.000 0.500
Tm3 Tm 0.500 0.500 0.000
Tm4 Tm 0.500 0.500 0.500
```

Order from most stable to least stable according to the calculation: ii, i

## i
A geometry-optimized ErTmZn structure. Source: OQMD via LeMat-Bulk, functional PBE-GGA.

* theoretical density: 8.1 g/cm3
* M_tot: 0.00 μB/atom
* symmetry: No. 216

```
data_ErTmZn
_cell_length_a 4.877
_cell_length_b 4.877
_cell_length_c 4.877
_cell_angle_alpha 60.00
_cell_angle_beta 60.00
_cell_angle_gamma 60.00
_symmetry_space_group_name_H-M 'P 1'
_symmetry_Int_Tables_number 1
loop_
_symmetry_equiv_pos_as_xyz
'x,y,z'
loop_
_atom_site_label
_atom_site_type_symbol
_atom_site_fract_x
_atom_site_fract_y
_atom_site_fract_z
Er1 Er 0.000 0.000 0.000
Tm1 Tm 0.500 0.500 0.500
Zn1 Zn 0.250 0.250 0.250
```

## ii
A geometry-optimized ErTmZn structure. Source: OQMD via LeMat-Bulk, functional PBE-GGA.

* theoretical density: 9.0 g/cm3
* M_tot: 0.00 μB/atom
* symmetry: No. 62

```
data_ErTmZn
_cell_length_a 6.677
_cell_length_b 4.946
_cell_length_c 8.940
_cell_angle_alpha 90.00
_cell_angle_beta 90.00
_cell_angle_gamma 90.00
_symmetry_space_group_name_H-M 'P 1'
_symmetry_Int_Tables_number 1
loop_
_symmetry_equiv_pos_as_xyz
'x,y,z'
loop_
_atom_site_label
_atom_site_type_symbol
_atom_site_fract_x
_atom_site_fract_y
_atom_site_fract_z
Er1 Er 0.167 0.250 0.075
Er2 Er 0.333 0.750 0.575
Er3 Er 0.667 0.250 0.425
Er4 Er 0.833 0.750 0.925
Tm1 Tm 0.017 0.250 0.694
Tm2 Tm 0.483 0.750 0.194
Tm3 Tm 0.517 0.250 0.806
Tm4 Tm 0.983 0.750 0.306
Zn1 Zn 0.227 0.250 0.399
Zn2 Zn 0.273 0.750 0.899
Zn3 Zn 0.727 0.250 0.101
Zn4 Zn 0.773 0.750 0.601
```

Order from most stable to least stable according to the calculation: ii, i

## i
A geometry-optimized ErZnW structure. Source: OQMD via LeMat-Bulk, functional PBE-GGA.

* theoretical density: 11.0 g/cm3
* M_tot: 0.01 μB/atom
* symmetry: No. 216

```
data_ErZnW
_cell_length_a 4.470
_cell_length_b 4.470
_cell_length_c 4.470
_cell_angle_alpha 60.00
_cell_angle_beta 60.00
_cell_angle_gamma 60.00
_symmetry_space_group_name_H-M 'P 1'
_symmetry_Int_Tables_number 1
loop_
_symmetry_equiv_pos_as_xyz
'x,y,z'
loop_
_atom_site_label
_atom_site_type_symbol
_atom_site_fract_x
_atom_site_fract_y
_atom_site_fract_z
Er1 Er 0.000 0.000 0.000
Zn1 Zn 0.250 0.250 0.250
W1 W 0.500 0.500 0.500
```

## ii
A geometry-optimized ErZnW structure. Source: OQMD via LeMat-Bulk, functional PBE-GGA.

* theoretical density: 9.5 g/cm3
* M_tot: 0.99 μB/atom
* symmetry: No. 216

```
data_ErZnW
_cell_length_a 4.690
_cell_length_b 4.690
_cell_length_c 4.690
_cell_angle_alpha 60.00
_cell_angle_beta 60.00
_cell_angle_gamma 60.00
_symmetry_space_group_name_H-M 'P 1'
_symmetry_Int_Tables_number 1
loop_
_symmetry_equiv_pos_as_xyz
'x,y,z'
loop_
_atom_site_label
_atom_site_type_symbol
_atom_site_fract_x
_atom_site_fract_y
_atom_site_fract_z
Er1 Er 0.000 0.000 0.000
Zn1 Zn 0.250 0.250 0.250
W1 W 0.750 0.750 0.750
```

Order from most stable to least stable according to the calculation: i, ii

## i
A geometry-optimized YErZn structure. Source: OQMD via LeMat-Bulk, functional PBE-GGA.

* theoretical density: 6.3 g/cm3
* M_tot: 0.00 μB/atom
* symmetry: No. 216

```
data_YErZn
_cell_length_a 4.926
_cell_length_b 4.926
_cell_length_c 4.926
_cell_angle_alpha 60.00
_cell_angle_beta 60.00
_cell_angle_gamma 60.00
_symmetry_space_group_name_H-M 'P 1'
_symmetry_Int_Tables_number 1
loop_
_symmetry_equiv_pos_as_xyz
'x,y,z'
loop_
_atom_site_label
_atom_site_type_symbol
_atom_site_fract_x
_atom_site_fract_y
_atom_site_fract_z
Y1 Y 0.000 0.000 0.000
Er1 Er 0.500 0.500 0.500
Zn1 Zn 0.750 0.750 0.750
```

## ii
A geometry-optimized YErZn structure. Source: OQMD via LeMat-Bulk, functional PBE-GGA.

* theoretical density: 7.0 g/cm3
* M_tot: 0.00 μB/atom
* symmetry: No. 62

```
data_YErZn
_cell_length_a 6.812
_cell_length_b 4.960
_cell_length_c 8.989
_cell_angle_alpha 90.00
_cell_angle_beta 90.00
_cell_angle_gamma 90.00
_symmetry_space_group_name_H-M 'P 1'
_symmetry_Int_Tables_number 1
loop_
_symmetry_equiv_pos_as_xyz
'x,y,z'
loop_
_atom_site_label
_atom_site_type_symbol
_atom_site_fract_x
_atom_site_fract_y
_atom_site_fract_z
Y1 Y 0.017 0.250 0.192
Y2 Y 0.483 0.750 0.692
Y3 Y 0.517 0.250 0.308
Y4 Y 0.983 0.750 0.808
Er1 Er 0.163 0.250 0.575
Er2 Er 0.337 0.750 0.075
Er3 Er 0.663 0.250 0.925
Er4 Er 0.837 0.750 0.425
Zn1 Zn 0.233 0.250 0.898
Zn2 Zn 0.267 0.750 0.398
Zn3 Zn 0.733 0.250 0.602
Zn4 Zn 0.767 0.750 0.102
```

Order from most stable to least stable according to the calculation: ii, i

## i
A geometry-optimized Er2Zr structure. Source: OQMD via LeMat-Bulk, functional PBE-GGA.

* theoretical density: 8.3 g/cm3
* M_tot: 0.67 μB/atom
* symmetry: No. 227

```
data_Er2Zr
_cell_length_a 6.231
_cell_length_b 6.231
_cell_length_c 6.231
_cell_angle_alpha 60.00
_cell_angle_beta 60.00
_cell_angle_gamma 60.00
_symmetry_space_group_name_H-M 'P 1'
_symmetry_Int_Tables_number 1
loop_
_symmetry_equiv_pos_as_xyz
'x,y,z'
loop_
_atom_site_label
_atom_site_type_symbol
_atom_site_fract_x
_atom_site_fract_y
_atom_site_fract_z
Er1 Er 0.000 0.000 0.000
Er2 Er 0.000 0.000 0.500
Er3 Er 0.000 0.500 0.000
Er4 Er 0.500 0.000 0.000
Zr1 Zr 0.375 0.375 0.375
Zr2 Zr 0.625 0.625 0.625
```

## ii
A geometry-optimized Er2Zr structure. Source: OQMD via LeMat-Bulk, functional PBE-GGA.

* theoretical density: 2.6 g/cm3
* M_tot: 0.23 μB/atom
* symmetry: No. 227

```
data_Er2Zr
_cell_length_a 9.159
_cell_length_b 9.159
_cell_length_c 9.159
_cell_angle_alpha 60.00
_cell_angle_beta 60.00
_cell_angle_gamma 60.00
_symmetry_space_group_name_H-M 'P 1'
_symmetry_Int_Tables_number 1
loop_
_symmetry_equiv_pos_as_xyz
'x,y,z'
loop_
_atom_site_label
_atom_site_type_symbol
_atom_site_fract_x
_atom_site_fract_y
_atom_site_fract_z
Er1 Er 0.000 0.000 0.000
Er2 Er 0.000 0.000 0.500
Er3 Er 0.000 0.500 0.000
Er4 Er 0.500 0.000 0.000
Zr1 Zr 0.125 0.125 0.125
Zr2 Zr 0.875 0.875 0.875
```

Order from most stable to least stable according to the calculation: i, ii

## i
A geometry-optimized GdF structure. Source: OQMD via LeMat-Bulk, functional PBE-GGA.

* theoretical density: 9.0 g/cm3
* M_tot: 0.00 μB/atom
* symmetry: No. 225

```
data_GdF
_cell_length_a 3.577
_cell_length_b 3.577
_cell_length_c 3.577
_cell_angle_alpha 60.00
_cell_angle_beta 60.00
_cell_angle_gamma 60.00
_symmetry_space_group_name_H-M 'P 1'
_symmetry_Int_Tables_number 1
loop_
_symmetry_equiv_pos_as_xyz
'x,y,z'
loop_
_atom_site_label
_atom_site_type_symbol
_atom_site_fract_x
_atom_site_fract_y
_atom_site_fract_z
Gd1 Gd 0.000 0.000 0.000
F1 F 0.500 0.500 0.500
```

## ii
A geometry-optimized GdF structure. Source: OQMD via LeMat-Bulk, functional PBE-GGA.

* theoretical density: 7.0 g/cm3
* M_tot: 0.03 μB/atom
* symmetry: No. 216

```
data_GdF
_cell_length_a 3.889
_cell_length_b 3.889
_cell_length_c 3.889
_cell_angle_alpha 60.00
_cell_angle_beta 60.00
_cell_angle_gamma 60.00
_symmetry_space_group_name_H-M 'P 1'
_symmetry_Int_Tables_number 1
loop_
_symmetry_equiv_pos_as_xyz
'x,y,z'
loop_
_atom_site_label
_atom_site_type_symbol
_atom_site_fract_x
_atom_site_fract_y
_atom_site_fract_z
Gd1 Gd 0.000 0.000 0.000
F1 F 0.250 0.250 0.250
```

## iii
A geometry-optimized GdF structure. Source: OQMD via LeMat-Bulk, functional PBE-GGA.

* theoretical density: 8.7 g/cm3
* M_tot: 0.00 μB/atom
* symmetry: No. 194

```
data_GdF
_cell_length_a 3.793
_cell_length_b 3.793
_cell_length_c 5.410
_cell_angle_alpha 90.00
_cell_angle_beta 90.00
_cell_angle_gamma 120.00
_symmetry_space_group_name_H-M 'P 1'
_symmetry_Int_Tables_number 1
loop_
_symmetry_equiv_pos_as_xyz
'x,y,z'
loop_
_atom_site_label
_atom_site_type_symbol
_atom_site_fract_x
_atom_site_fract_y
_atom_site_fract_z
Gd1 Gd 0.333 0.667 0.250
Gd2 Gd 0.667 0.333 0.750
F1 F 0.000 0.000 0.000
F2 F 0.000 0.000 0.500
```

Order from most stable to least stable according to the calculation: ii, iii, i

## i
A geometry-optimized HoH2O2F structure. Source: OQMD via LeMat-Bulk, functional PBE-GGA.

* theoretical density: 6.6 g/cm3
* M_tot: 0.00 μB/atom
* symmetry: No. 11

```
data_HoH2O2F
_cell_length_a 5.957
_cell_length_b 3.496
_cell_length_c 6.028
_cell_angle_alpha 90.00
_cell_angle_beta 119.33
_cell_angle_gamma 90.00
_symmetry_space_group_name_H-M 'P 1'
_symmetry_Int_Tables_number 1
loop_
_symmetry_equiv_pos_as_xyz
'x,y,z'
loop_
_atom_site_label
_atom_site_type_symbol
_atom_site_fract_x
_atom_site_fract_y
_atom_site_fract_z
Ho1 Ho 0.159 0.250 0.324
Ho2 Ho 0.841 0.750 0.676
H1 H 0.250 0.250 0.877
H2 H 0.370 0.750 0.745
H3 H 0.630 0.250 0.255
H4 H 0.750 0.750 0.123
O1 O 0.112 0.250 0.918
O2 O 0.194 0.750 0.605
O3 O 0.806 0.250 0.395
O4 O 0.888 0.750 0.082
F1 F 0.426 0.750 0.312
F2 F 0.574 0.250 0.688
```

## ii
A geometry-optimized HoH2O2F structure. Source: OQMD via LeMat-Bulk, functional PBE-GGA.

* theoretical density: 6.4 g/cm3
* M_tot: 0.00 μB/atom
* symmetry: No. 11

```
data_HoH2O2F
_cell_length_a 5.803
_cell_length_b 3.391
_cell_length_c 6.064
_cell_angle_alpha 90.00
_cell_angle_beta 109.71
_cell_angle_gamma 90.00
_symmetry_space_group_name_H-M 'P 1'
_symmetry_Int_Tables_number 1
loop_
_symmetry_equiv_pos_as_xyz
'x,y,z'
loop_
_atom_site_label
_atom_site_type_symbol
_atom_site_fract_x
_atom_site_fract_y
_atom_site_fract_z
Ho1 Ho 0.143 0.250 0.295
Ho2 Ho 0.857 0.750 0.705
H1 H 0.267 0.250 0.864
H2 H 0.351 0.750 0.682
H3 H 0.649 0.250 0.318
H4 H 0.733 0.750 0.136
O1 O 0.119 0.250 0.906
O2 O 0.186 0.750 0.569
O3 O 0.814 0.250 0.431
O4 O 0.881 0.750 0.094
F1 F 0.415 0.750 0.268
F2 F 0.585 0.250 0.732
```

Order from most stable to least stable according to the calculation: i, ii

## i
A geometry-optimized ZnHOF structure. Source: OQMD via LeMat-Bulk, functional PBE-GGA.

* theoretical density: 4.6 g/cm3
* symmetry: No. 186

```
data_ZnHOF
_cell_length_a 3.131
_cell_length_b 3.131
_cell_length_c 8.697
_cell_angle_alpha 90.00
_cell_angle_beta 90.00
_cell_angle_gamma 120.00
_symmetry_space_group_name_H-M 'P 1'
_symmetry_Int_Tables_number 1
loop_
_symmetry_equiv_pos_as_xyz
'x,y,z'
loop_
_atom_site_label
_atom_site_type_symbol
_atom_site_fract_x
_atom_site_fract_y
_atom_site_fract_z
Zn1 Zn 0.333 0.667 0.000
Zn2 Zn 0.667 0.333 0.500
H1 H 0.000 0.000 0.210
H2 H 0.000 0.000 0.710
O1 O 0.000 0.000 0.098
O2 O 0.000 0.000 0.598
F1 F 0.333 0.667 0.360
F2 F 0.667 0.333 0.860
```

## ii
A geometry-optimized ZnHOF structure. Source: OQMD via LeMat-Bulk, functional PBE-GGA.

* theoretical density: 4.4 g/cm3
* symmetry: No. 14

```
data_ZnHOF
_cell_length_a 5.001
_cell_length_b 6.216
_cell_length_c 5.341
_cell_angle_alpha 90.00
_cell_angle_beta 113.44
_cell_angle_gamma 90.00
_symmetry_space_group_name_H-M 'P 1'
_symmetry_Int_Tables_number 1
loop_
_symmetry_equiv_pos_as_xyz
'x,y,z'
loop_
_atom_site_label
_atom_site_type_symbol
_atom_site_fract_x
_atom_site_fract_y
_atom_site_fract_z
Zn1 Zn 0.015 0.123 0.266
Zn2 Zn 0.015 0.377 0.766
Zn3 Zn 0.985 0.623 0.234
Zn4 Zn 0.985 0.877 0.734
H1 H 0.425 0.128 0.755
H2 H 0.425 0.372 0.255
H3 H 0.575 0.628 0.745
H4 H 0.575 0.872 0.245
O1 O 0.209 0.128 0.679
O2 O 0.209 0.372 0.179
O3 O 0.791 0.628 0.821
O4 O 0.791 0.872 0.321
F1 F 0.247 0.625 0.664
F2 F 0.247 0.875 0.164
F3 F 0.753 0.125 0.836
F4 F 0.753 0.375 0.336
```

Order from most stable to least stable according to the calculation: ii, i